# Pr4Dy3ErS8 | Alexandria | GGA-PBE | relaxed
data_Pr4Dy3ErS8
_chemical_formula_sum 'Pr12 Dy9 Er3 S24'
_cell_length_a 7.9170
_cell_length_b 7.9170
_cell_length_c 20.0464
_cell_angle_alpha 90.00
_cell_angle_beta 90.00
_cell_angle_gamma 120.00
_space_group_name_H-M_alt 'R -3 m'
_space_group_IT_number 166
_space_group_name_Hall '-R 3 2"'
loop_
_atom_site_label
_atom_site_type_symbol
_atom_site_fract_x
_atom_site_fract_y
_atom_site_fract_z
Pr1 Pr 0.0000 0.0000 0.0000
Pr2 Pr 0.0000 0.5000 0.0000
Dy1 Dy 0.0000 0.5000 0.5000
Er1 Er 0.0000 0.0000 0.5000
S1 S 0.0000 0.0000 0.2433
S2 S 0.0020 0.5010 0.2429
# E_form (uncorrected)	-193.7	kJ/mol of atoms
# DOS at the Fermi energy	19.80	states/eV per cell

***

# Tb14HoTm | Alexandria | GGA-PBE | relaxed
data_Tb14HoTm
_chemical_formula_sum 'Tb14 Ho1 Tm1'
_cell_length_a 7.0990
_cell_length_b 7.0990
_cell_length_c 10.0179
_cell_angle_alpha 90.00
_cell_angle_beta 90.00
_cell_angle_gamma 90.00
_space_group_name_H-M_alt 'P 4/m m m'
_space_group_IT_number 123
_space_group_name_Hall '-P 4 2'
loop_
_atom_site_label
_atom_site_type_symbol
_atom_site_fract_x
_atom_site_fract_y
_atom_site_fract_z
Tb1 Tb 0.0000 0.0000 0.0000
Tb2 Tb 0.0000 0.5000 0.0000
Tb3 Tb 0.0000 0.5000 0.5000
Tb4 Tb 0.2502 0.2502 0.2509
Tb5 Tb 0.5000 0.5000 0.0000
Ho1 Ho 0.0000 0.0000 0.5000
Tm1 Tm 0.5000 0.5000 0.5000
# DOS at the Fermi energy	18.84	states/eV per cell
# DFT formation energy	0.01	eV/atom

***

# K2MnTl | Alexandria | GGA-PBE | relaxed
data_K2MnTl
_chemical_formula_sum 'K2 Mn1 Tl1'
_cell_length_a 3.6398
_cell_length_b 5.6418
_cell_length_c 6.9425
_cell_angle_alpha 90.00
_cell_angle_beta 90.06
_cell_angle_gamma 90.00
_space_group_name_H-M_alt 'P 1 2/m 1'
_space_group_IT_number 10
loop_
_space_group_symop_operation_xyz
'x,y,z'
'-x,-y,-z'
'-x,y,-z'
'x,-y,z'
loop_
_atom_site_label
_atom_site_type_symbol
_atom_site_fract_x
_atom_site_fract_y
_atom_site_fract_z
K1 K 0.0007 0.0000 0.2507
Mn1 Mn 0.5000 0.5000 0.5000
Tl1 Tl 0.5000 0.5000 0.0000
# offset from the most stable computed form	229	meV/atom
# DOS at the Fermi energy	3.92	states/eV per cell
# DFT formation energy	0.57	eV/atom

***

# CdGaB | Alexandria | GGA-PBE | relaxed
data_CdGaB
_chemical_formula_sum 'Cd2 Ga2 B2'
_cell_length_a 3.1478
_cell_length_b 5.7516
_cell_length_c 5.8962
_cell_angle_alpha 81.62
_cell_angle_beta 84.17
_cell_angle_gamma 77.87
_space_group_name_H-M_alt 'P 1'
_space_group_IT_number 1
loop_
_space_group_symop_operation_xyz
'x,y,z'
loop_
_atom_site_label
_atom_site_type_symbol
_atom_site_fract_x
_atom_site_fract_y
_atom_site_fract_z
Cd1 Cd 0.0000 0.0000 0.0000
Cd2 Cd 0.3645 0.4526 0.1680
Ga1 Ga 0.3952 0.8737 0.4347
Ga2 Ga 0.9582 0.5790 0.7348
B1 B 0.4332 0.2282 0.5659
B2 B 0.9316 0.2250 0.6019
# DOS at the Fermi energy	1.80	states/eV per cell
# DFT formation energy	0.27	eV/atom

***

# NdGd2Pb | Alexandria | GGA-PBE | relaxed
data_NdGd2Pb
_chemical_formula_sum 'Nd3 Gd6 Pb3'
_cell_length_a 3.5832
_cell_length_b 3.5832
_cell_length_c 36.6033
_cell_angle_alpha 90.00
_cell_angle_beta 90.00
_cell_angle_gamma 120.00
_space_group_name_H-M_alt 'R -3 m'
_space_group_IT_number 166
_space_group_name_Hall '-R 3 2"'
loop_
_atom_site_label
_atom_site_type_symbol
_atom_site_fract_x
_atom_site_fract_y
_atom_site_fract_z
Nd1 Nd 0.0000 0.0000 0.0000
Gd1 Gd 0.0000 0.0000 0.4126
Pb1 Pb 0.0000 0.0000 0.5000
# offset from the most stable computed form	386	meV/atom
# DOS at the Fermi energy	14.40	states/eV per cell
# DFT formation energy	0.05	eV/atom

***

# ScCo2W | Alexandria | GGA-PBE | relaxed
data_ScCo2W
_chemical_formula_sum 'Sc2 Co4 W2'
_cell_length_a 2.7560
_cell_length_b 4.2975
_cell_length_c 9.5840
_cell_angle_alpha 90.00
_cell_angle_beta 90.00
_cell_angle_gamma 90.00
_space_group_name_H-M_alt 'I m m 2'
_space_group_IT_number 44
loop_
_space_group_symop_operation_xyz
'x,y,z'
'-x,-y,z'
'-x,y,z'
'x,-y,z'
'x+1/2,y+1/2,z+1/2'
'-x+1/2,-y+1/2,z+1/2'
'-x+1/2,y+1/2,z+1/2'
'x+1/2,-y+1/2,z+1/2'
loop_
_atom_site_label
_atom_site_type_symbol
_atom_site_fract_x
_atom_site_fract_y
_atom_site_fract_z
Sc1 Sc 0.0000 0.0000 0.0000
Co1 Co 0.0000 0.0000 0.5166
Co2 Co 0.0000 0.5000 0.2280
W1 W 0.0000 0.5000 0.7865
# offset from the most stable computed form	160	meV/atom
# DOS at the Fermi energy	9.98	states/eV per cell
# DFT formation energy	0.09	eV/atom

***

# BaTaTl2 | Alexandria | GGA-PBE | relaxed
data_BaTaTl2
_chemical_formula_sum 'Ba1 Ta1 Tl2'
_cell_length_a 5.0339
_cell_length_b 5.0339
_cell_length_c 4.6170
_cell_angle_alpha 90.00
_cell_angle_beta 90.00
_cell_angle_gamma 90.00
_space_group_name_H-M_alt 'P 4/m m m'
_space_group_IT_number 123
_space_group_name_Hall '-P 4 2'
loop_
_atom_site_label
_atom_site_type_symbol
_atom_site_fract_x
_atom_site_fract_y
_atom_site_fract_z
Ba1 Ba 0.0000 0.0000 0.0000
Ta1 Ta 0.5000 0.5000 0.0000
Tl1 Tl 0.0000 0.5000 0.5000
# DOS at the Fermi energy	3.81	states/eV per cell
# DFT formation energy	0.73	eV/atom

***

# LiCr2P | Alexandria | GGA-PBE | relaxed
data_LiCr2P
_chemical_formula_sum 'Li2 Cr4 P2'
_cell_length_a 3.4805
_cell_length_b 3.4805
_cell_length_c 7.3543
_cell_angle_alpha 90.00
_cell_angle_beta 90.00
_cell_angle_gamma 90.00
_space_group_name_H-M_alt 'I 4/m m m'
_space_group_IT_number 139
_space_group_name_Hall '-I 4 2'
loop_
_atom_site_label
_atom_site_type_symbol
_atom_site_fract_x
_atom_site_fract_y
_atom_site_fract_z
Li1 Li 0.0000 0.0000 0.0000
Cr1 Cr 0.0000 0.5000 0.2500
P1 P 0.0000 0.0000 0.5000
# DOS at the Fermi energy	7.91	states/eV per cell
# DFT formation energy	0.01	eV/atom

***

# BaCdSn2Ru | Alexandria | GGA-PBE | relaxed
data_BaCdSn2Ru
_chemical_formula_sum 'Ba1 Cd1 Sn2 Ru1'
_cell_length_a 5.1610
_cell_length_b 5.1610
_cell_length_c 5.3159
_cell_angle_alpha 90.00
_cell_angle_beta 90.00
_cell_angle_gamma 90.00
_space_group_name_H-M_alt 'P 4/m m m'
_space_group_IT_number 123
_space_group_name_Hall '-P 4 2'
loop_
_atom_site_label
_atom_site_type_symbol
_atom_site_fract_x
_atom_site_fract_y
_atom_site_fract_z
Ba1 Ba 0.0000 0.0000 0.0000
Cd1 Cd 0.5000 0.5000 0.0000
Sn1 Sn 0.0000 0.5000 0.5000
Ru1 Ru 0.5000 0.5000 0.5000
# DOS at the Fermi energy	2.59	states/eV per cell
# DFT formation energy	-0.25	eV/atom

***

# Mn2Zn2Tc | Alexandria | GGA-PBE | relaxed
data_Mn2Zn2Tc
_chemical_formula_sum 'Mn4 Zn4 Tc2'
_cell_length_a 5.9666
_cell_length_b 5.9666
_cell_length_c 3.9500
_cell_angle_alpha 90.00
_cell_angle_beta 90.00
_cell_angle_gamma 90.00
_space_group_name_H-M_alt 'P 4/m b m'
_space_group_IT_number 127
_space_group_name_Hall '-P 4 2ab'
loop_
_atom_site_label
_atom_site_type_symbol
_atom_site_fract_x
_atom_site_fract_y
_atom_site_fract_z
Mn1 Mn 0.1260 0.3740 0.0000
Zn1 Zn 0.1737 0.6737 0.5000
Tc1 Tc 0.0000 0.0000 0.0000
# offset from the most stable computed form	0	meV/atom
# DOS at the Fermi energy	9.84	states/eV per cell
# DFT formation energy	0.39	eV/atom

***

# CaGaS2Cl | Alexandria | GGA-PBE | relaxed
data_CaGaS2Cl
_chemical_formula_sum 'Ca1 Ga1 S2 Cl1'
_cell_length_a 5.4120
_cell_length_b 5.4120
_cell_length_c 5.3276
_cell_angle_alpha 90.00
_cell_angle_beta 90.00
_cell_angle_gamma 90.00
_space_group_name_H-M_alt 'P 4/m m m'
_space_group_IT_number 123
_space_group_name_Hall '-P 4 2'
loop_
_atom_site_label
_atom_site_type_symbol
_atom_site_fract_x
_atom_site_fract_y
_atom_site_fract_z
Ca1 Ca 0.0000 0.0000 0.0000
Ga1 Ga 0.5000 0.5000 0.5000
S1 S 0.0000 0.5000 0.0000
Cl1 Cl 0.0000 0.0000 0.5000
# E_form (uncorrected)	-45.1	kJ/mol of atoms
# offset from the most stable computed form	494	meV/atom
# DOS at the Fermi energy	4.31	states/eV per cell

***

# YIn2W | Alexandria | GGA-PBE | relaxed
data_YIn2W
_chemical_formula_sum 'Y3 In6 W3'
_cell_length_a 3.2027
_cell_length_b 3.2027
_cell_length_c 31.1110
_cell_angle_alpha 90.00
_cell_angle_beta 90.00
_cell_angle_gamma 120.00
_space_group_name_H-M_alt 'R 3 m'
_space_group_IT_number 160
_space_group_name_Hall 'R 3 -2"'
loop_
_atom_site_label
_atom_site_type_symbol
_atom_site_fract_x
_atom_site_fract_y
_atom_site_fract_z
Y1 Y 0.0000 0.0000 0.0000
In1 In 0.0000 0.0000 0.5134
In2 In 0.0000 0.0000 0.7586
W1 W 0.0000 0.0000 0.2550
# offset from the most stable computed form	267	meV/atom
# DOS at the Fermi energy	10.56	states/eV per cell
# DFT formation energy	0.46	eV/atom